Entry 1:
Compound: LaHo3Zn4
Source: Alexandria via LeMat-Bulk
Functional: PBE
Structure: optimized geometry

Summary:
Calculated volume (Å³ per atom): 23.4
Crystal system: tetragonal
Symmetry: P4/mmm
Formation energy from the elements (eV/atom): -0.322

a = 5.076 Å, b = 7.267 Å, c = 10.153 Å
α = 90.00°, β = 90.00°, γ = 90.00°
Fractional positions:
Zn 0.500 0.765 0.000
Zn 0.500 0.765 0.500
Zn 0.500 0.235 0.000
Zn 0.500 0.235 0.500
Zn 0.001 0.765 0.750
Zn 0.999 0.765 0.250
Zn 0.999 0.235 0.250
Zn 0.001 0.235 0.750
Ho 0.000 0.000 0.000
Ho 0.000 0.000 0.500
Ho 0.501 0.000 0.750
Ho 0.499 0.000 0.250
Ho 0.501 0.500 0.750
Ho 0.499 0.500 0.250
La 0.000 0.500 0.000
La 0.000 0.500 0.500

=====

Entry 2:
Compound: La5HoZn6
Source: Alexandria via LeMat-Bulk
Functional: PBE
Structure: optimized geometry

Summary:
Calculated volume (Å³ per atom): 25.9
Crystal system: monoclinic
Symmetry: P2/m
Formation energy from the elements (eV/atom): -0.311

a = 5.254 Å, b = 7.457 Å, c = 8.360 Å
α = 90.00°, β = 71.52°, γ = 90.00°
Fractional positions:
Zn 0.839 0.758 0.321
Zn 0.839 0.242 0.321
Zn 0.500 0.239 0.000
Zn 0.500 0.761 0.000
Zn 0.161 0.758 0.679
Zn 0.161 0.242 0.679
Ho 0.000 0.000 0.000
La 0.672 0.500 0.658
La 0.333 0.000 0.332
La 0.000 0.500 0.000
La 0.667 0.000 0.668
La 0.328 0.500 0.342

=====

Entry 3:
Compound: La3HoZn2
Source: Alexandria via LeMat-Bulk
Functional: PBE
Structure: optimized geometry

Summary:
Calculated volume (Å³ per atom): 28.7
Crystal system: orthorhombic
Symmetry: Pmc2_1
Formation energy from the elements (eV/atom): -0.207

a = 5.305 Å, b = 6.803 Å, c = 9.529 Å
α = 90.00°, β = 90.00°, γ = 90.00°
Fractional positions:
La 0.000 0.502 0.942
La 0.000 0.002 0.058
La 0.500 0.676 0.175
La 0.500 0.176 0.825
La 0.000 0.313 0.333
La 0.000 0.813 0.667
Ho 0.500 0.509 0.553
Ho 0.500 0.009 0.447
Zn 0.500 0.715 0.840
Zn 0.500 0.215 0.160
Zn 0.000 0.285 0.650
Zn 0.000 0.785 0.350

=====

Entry 4:
Compound: La3Ho2Zn3
Source: Alexandria via LeMat-Bulk
Functional: PBE
Structure: optimized geometry

Summary:
Calculated volume (Å³ per atom): 27.7
Crystal system: orthorhombic
Symmetry: Immm
Formation energy from the elements (eV/atom): -0.236

a = 3.711 Å, b = 5.418 Å, c = 11.483 Å
α = 103.65°, β = 99.30°, γ = 90.00°
Fractional positions:
La 0.380 0.380 0.760
La 0.620 0.620 0.240
La 0.500 0.000 0.000
Ho 0.270 0.770 0.539
Ho 0.730 0.230 0.461
Zn 0.878 0.878 0.755
Zn 0.000 0.500 0.000
Zn 0.122 0.122 0.245

=====

Entry 5:
Compound: LaHo4Zn5
Source: Alexandria via LeMat-Bulk
Functional: PBE
Structure: optimized geometry

Summary:
Calculated volume (Å³ per atom): 23.2
Crystal system: tetragonal
Symmetry: P4/mmm
Formation energy from the elements (eV/atom): -0.332

a = 3.581 Å, b = 3.581 Å, c = 18.081 Å
α = 90.00°, β = 90.00°, γ = 90.00°
Fractional positions:
La 0.000 0.000 0.000
Ho 0.000 0.000 0.208
Ho 0.000 0.000 0.403
Ho 0.000 0.000 0.597
Ho 0.000 0.000 0.792
Zn 0.500 0.500 0.115
Zn 0.500 0.500 0.304
Zn 0.500 0.500 0.500
Zn 0.500 0.500 0.696
Zn 0.500 0.500 0.885

=====

Entry 6:
Compound: La2HoZn4
Source: Alexandria via LeMat-Bulk
Functional: PBE
Structure: optimized geometry

Summary:
Calculated volume (Å³ per atom): 27.2
Crystal system: trigonal
Symmetry: R-3m
Formation energy from the elements (eV/atom): -0.104

a = 5.084 Å, b = 5.084 Å, c = 8.983 Å
α = 73.56°, β = 73.56°, γ = 60.00°
Fractional positions:
La 0.755 0.755 0.736
La 0.245 0.245 0.264
Ho 0.000 0.000 0.000
Zn 0.877 0.877 0.369
Zn 0.123 0.123 0.631
Zn 0.629 0.629 0.113
Zn 0.371 0.371 0.887

=====

Entry 7:
Compound: LaHo2Zn4
Source: Alexandria via LeMat-Bulk
Functional: PBE
Structure: optimized geometry

Summary:
Calculated volume (Å³ per atom): 25.3
Crystal system: tetragonal
Symmetry: P4/mmm
Formation energy from the elements (eV/atom): -0.070

a = 5.070 Å, b = 5.070 Å, c = 6.880 Å
α = 90.00°, β = 90.00°, γ = 90.00°
Fractional positions:
La 0.500 0.500 0.000
Ho 0.000 0.000 0.000
Ho 0.500 0.500 0.500
Zn 0.500 0.000 0.281
Zn 0.000 0.500 0.719
Zn 0.500 0.000 0.719
Zn 0.000 0.500 0.281

=====

Entry 8:
Compound: LaHo2Zn3
Source: Alexandria via LeMat-Bulk
Functional: PBE
Structure: optimized geometry

Summary:
Calculated volume (Å³ per atom): 23.7
Crystal system: tetragonal
Symmetry: P4/mmm
Formation energy from the elements (eV/atom): -0.324

a = 3.607 Å, b = 3.607 Å, c = 10.946 Å
α = 90.00°, β = 90.00°, γ = 90.00°
Fractional positions:
La 0.500 0.500 0.500
Ho 0.500 0.500 0.840
Ho 0.500 0.500 0.160
Zn 0.000 0.000 0.000
Zn 0.000 0.000 0.688
Zn 0.000 0.000 0.312

=====

Entry 9:
Compound: LaHo2Zn
Source: Alexandria via LeMat-Bulk
Functional: PBE
Structure: optimized geometry

Summary:
Calculated volume (Å³ per atom): 27.8
Crystal system: tetragonal
Symmetry: P4/mmm
Formation energy from the elements (eV/atom): -0.021

a = 4.857 Å, b = 4.786 Å, c = 4.786 Å
α = 90.00°, β = 90.00°, γ = 90.00°
Fractional positions:
Zn 0.500 0.000 0.000
Ho 0.000 0.000 0.500
Ho 0.000 0.500 0.000
La 0.500 0.500 0.500

=====

Entry 10:
Compound: La3HoZn4
Source: Alexandria via LeMat-Bulk
Functional: PBE
Structure: optimized geometry

Summary:
Calculated volume (Å³ per atom): 25.5
Crystal system: tetragonal
Symmetry: P4/mmm
Formation energy from the elements (eV/atom): -0.313

a = 3.697 Å, b = 3.697 Å, c = 14.923 Å
α = 90.00°, β = 90.00°, γ = 90.00°
Fractional positions:
Zn 0.000 0.000 0.627
Zn 0.000 0.000 0.373
Zn 0.000 0.000 0.108
Zn 0.000 0.000 0.892
Ho 0.500 0.500 0.000
La 0.500 0.500 0.758
La 0.500 0.500 0.500
La 0.500 0.500 0.242

=====

Entry 11:
Compound: La3Ho2Zn2
Source: Alexandria via LeMat-Bulk
Functional: PBE
Structure: optimized geometry

Summary:
Calculated volume (Å³ per atom): 29.6
Crystal system: orthorhombic
Symmetry: Cmmm
Formation energy from the elements (eV/atom): -0.106

a = 3.678 Å, b = 3.633 Å, c = 15.613 Å
α = 90.00°, β = 96.76°, γ = 90.00°
Fractional positions:
La 0.412 0.500 0.824
La 0.588 0.500 0.176
La 0.000 0.000 0.000
Ho 0.297 0.500 0.595
Ho 0.703 0.500 0.405
Zn 0.152 0.000 0.304
Zn 0.848 0.000 0.696

=====

Entry 12:
Compound: LaHo6Zn2
Source: Alexandria via LeMat-Bulk
Functional: PBE
Structure: optimized geometry

Summary:
Calculated volume (Å³ per atom): 28.1
Crystal system: monoclinic
Symmetry: C2/m
Formation energy from the elements (eV/atom): -0.139

a = 3.627 Å, b = 6.506 Å, c = 11.584 Å
α = 75.41°, β = 80.99°, γ = 73.82°
Fractional positions:
La 0.000 0.000 0.000
Ho 0.691 0.490 0.127
Ho 0.309 0.510 0.873
Ho 0.314 0.786 0.586
Ho 0.978 0.711 0.334
Ho 0.022 0.289 0.666
Ho 0.686 0.214 0.414
Zn 0.345 0.092 0.218
Zn 0.655 0.908 0.782

=====

calculated volume of number 6 (La2HoZn4)?
27.2 Å³ per atom